[1]
The following is a DFT calculation (PBE) of Sr2SF after structural relaxation.

The structure in POSCAR format:
```
Sr2SF
1.0
-3.1440 3.1440 6.3098
3.1440 -3.1440 6.3098
3.1440 3.1440 -6.3098
Sr S F
4 2 2
direct
0.0914 0.6250 0.9664
0.3750 0.3414 0.4664
0.6586 0.1250 0.0336
0.8750 0.9086 0.5336
0.2500 0.7500 0.5000
0.5000 0.5000 0.0000
0.0000 0.0000 0.0000
0.7500 0.2500 0.5000
```

Crystal system: tetragonal
Energy above the lowest structure with this stoichiometry, meV/atom: 198
ΔE_f (raw), eV/atom: -2.179

=====

[2]
The following is a DFT calculation (PBE) of MgTiGe2 after structural relaxation.

The structure in POSCAR format:
```
MgTiGe2
1.0
1.5261 0.8811 9.5755
-1.5261 0.8811 9.5755
0.0000 -1.7622 9.5755
Mg Ti Ge
1 1 2
direct
0.0000 0.0000 0.0000
0.5000 0.5000 0.5000
0.0942 0.0942 0.0942
0.9058 0.9058 0.9058
```

Crystal system: trigonal
Formation energy, eV per atom: -0.05

=====

[3]
The following is a DFT calculation (PBE) of CaLaTbPm after structural relaxation.

The structure in POSCAR format:
```
CaLaTbPm
1.0
3.6794 0.0000 0.0000
0.0000 3.6794 0.0000
0.0000 0.0000 10.6573
Ca La Tb Pm
1 1 1 1
direct
0.0000 0.0000 0.0000
0.5000 0.5000 0.7280
0.0000 0.0000 0.4892
0.5000 0.5000 0.2608
```

Crystal system: tetragonal
Energy above the lowest structure with this stoichiometry, meV/atom: 0
Formation energy, eV per atom: 0.05

=====

Please write out number 2 again, unchanged.
The following is a DFT calculation (PBE) of MgTiGe2 after structural relaxation.

The structure in POSCAR format:
```
MgTiGe2
1.0
1.5261 0.8811 9.5755
-1.5261 0.8811 9.5755
0.0000 -1.7622 9.5755
Mg Ti Ge
1 1 2
direct
0.0000 0.0000 0.0000
0.5000 0.5000 0.5000
0.0942 0.0942 0.0942
0.9058 0.9058 0.9058
```

Crystal system: trigonal
Formation energy, eV per atom: -0.05

=====

What is the formula in the first record? Sr2SF

=====

Number 3 is which compound? CaLaTbPm